DFT (PBE) results for a geometry-optimized Ca5AlAg4 structure.

Lattice parameters (Å, degrees): 3.729 3.729 18.426 90.00 90.00 90.00
Fractional coordinates of all 10 atoms:
Ca  0.500  0.500  0.101
Ca  0.500  0.500  0.301
Ca  0.500  0.500  0.500
Ca  0.500  0.500  0.699
Ca  0.500  0.500  0.899
Al  0.000  0.000  0.000
Ag  0.000  0.000  0.200
Ag  0.000  0.000  0.400
Ag  0.000  0.000  0.600
Ag  0.000  0.000  0.800

Calculated values
M_tot (μB per cell): 0.00
Crystal system: tetragonal
Calculated total energy (Ry per atom): -0.206

***

DFT (PBE) results for a geometry-optimized Ca3Al4Ag2 structure.

Lattice parameters (Å, degrees): 4.632 5.942 8.891 112.05 90.00 112.94
Fractional coordinates of all 9 atoms:
Ca  0.684  0.368  0.644
Ca  0.000  0.000  0.000
Ca  0.316  0.632  0.356
Al  0.742  0.484  0.079
Al  0.258  0.516  0.921
Al  0.988  0.976  0.643
Al  0.012  0.024  0.357
Ag  0.586  0.172  0.258
Ag  0.414  0.828  0.742

Calculated values
M_tot (μB per cell): 0.00
Crystal system: monoclinic
Calculated total energy (Ry per atom): -0.240